1.
The following is a PBE-GGA calculation of a geometry-optimized BaTlBiO2 structure, from Alexandria.

Lattice parameters (Å, degrees): 4.700 4.700 6.431 90.00 90.00 90.00
Fractional coordinates of all 5 atoms:
Ba (0.000, 0.000, 0.000)
Tl (0.000, 0.000, 0.500)
Bi (0.500, 0.500, 0.000)
O (0.000, 0.500, 0.500)
O (0.500, 0.000, 0.500)

SG ... P4/mmm (123)
M_tot ... 0.00 μB per cell
E_tot ... -17.45 eV for the cell shown
ΔE_f (raw) ... 0.64 eV per formula unit
Density of states at the Fermi level ... 0.74 states/eV per atom

=====

2.
The following is a PBE-GGA calculation of a geometry-optimized Mg2BeBiSe structure, from Alexandria.

Lattice parameters (Å, degrees): 5.456 5.456 3.966 90.00 90.00 90.00
Fractional coordinates of all 5 atoms:
Mg (0.000, 0.500, 0.000)
Mg (0.500, 0.000, 0.000)
Be (0.000, 0.000, 0.000)
Bi (0.500, 0.500, 0.500)
Se (0.000, 0.000, 0.500)

SG ... P4/mmm (123)
M_tot ... 0.00 μB per cell
E_tot ... -13.39 eV for the cell shown
ΔE_f (raw) ... 0.89 eV per formula unit
Density of states at the Fermi level ... 0.55 states/eV per atom

=====

3.
The following is a PBE-GGA calculation of a geometry-optimized Ca3NbW structure, from Alexandria.

Lattice parameters (Å, degrees): 5.411 5.411 5.411 90.00 90.00 90.00
Fractional coordinates of all 5 atoms:
Ca (0.000, 0.000, 0.500)
Ca (0.000, 0.500, 0.000)
Ca (0.500, 0.000, 0.000)
Nb (0.500, 0.500, 0.500)
W (0.000, 0.000, 0.000)

SG ... Pm-3m (221)
M_tot ... 0.00 μB per cell
ΔE to the lowest computed polymorph ... 0.000 eV per atom
E_tot ... -19.82 eV for the cell shown
Density of states at the Fermi level ... 2.54 states/eV per atom
Calculated formation energy ... 1841 meV per atom